SbPt3Cl after structural relaxation. Source: Alexandria, functional PBE. Values from VASP.

Values from the calculation:
Raw formation energy: 4.30 eV/f.u.
Symmetry: No. 221
ΔE to the lowest computed polymorph: 0 meV/atom
E: -0.291 Ry per atom

```
&SYSTEM
  ibrav = 0, nat = 5, ntyp = 3
/
ATOMIC_SPECIES
Sb 121.76 Sb.upf
Pt 195.08 Pt.upf
Cl 35.45 Cl.upf
CELL_PARAMETERS angstrom
4.6589 0.0000 0.0000
0.0000 4.6589 0.0000
0.0000 0.0000 4.6589
ATOMIC_POSITIONS crystal
Sb 0.0000 0.0000 0.0000
Pt 0.0000 0.5000 0.5000
Pt 0.5000 0.0000 0.5000
Pt 0.5000 0.5000 0.0000
Cl 0.5000 0.5000 0.5000
```